CsPuPbCl6 | GGA-PBE | optimized geometry

The calculation puts the density of states at the Fermi level at 19.89 states/eV/cell. As for the total energy: -5.04 eV per atom. The calculation puts the raw formation energy at -1714.5 meV per atom.

The structure belongs to space group C2 (No. 5); the cell edges are 7.547, 12.909 and 7.455 Å and the angles 90.00°, 90.09° and 90.00°. Symmetry generates all atoms from Cs at (0.000, 0.000, 0.000), Pu at (0.000, 0.667, 0.500), Pb at (0.000, 0.333, 0.500), Cl at (0.131, 0.510, 0.294), Cl at (0.177, 0.807, 0.290) and Cl at (0.201, 0.182, 0.293).